[1]
KZn3Hg3 after structural relaxation. Source: Alexandria, functional PBE.

Structure (POSCAR):
```
KZn3Hg3
1.0
7.545 0.000 0.000
0.000 7.545 0.000
0.000 0.000 7.545
K Zn Hg
2 6 6
direct
0.000 0.000 0.000
0.500 0.500 0.500
0.000 0.250 0.500
0.000 0.750 0.500
0.250 0.500 0.000
0.500 0.000 0.250
0.500 0.000 0.750
0.750 0.500 0.000
0.000 0.500 0.250
0.000 0.500 0.750
0.250 0.000 0.500
0.500 0.250 0.000
0.500 0.750 0.000
0.750 0.000 0.500
```

calculated volume: 429.46 Å³ per cell
space group: Pm-3n
DFT formation energy: 0.5 eV per formula unit

[2]
Nb6RuRh8 after structural relaxation. Source: Alexandria, functional PBE.

Structure (POSCAR):
```
Nb6RuRh8
1.0
3.627 2.094 5.488
-3.627 2.094 5.488
0.000 -4.188 5.488
Nb Ru Rh
6 1 8
direct
0.121 0.379 0.851
0.149 0.879 0.621
0.379 0.851 0.121
0.621 0.149 0.879
0.851 0.121 0.379
0.879 0.621 0.149
0.500 0.500 0.500
0.094 0.664 0.371
0.239 0.239 0.239
0.336 0.629 0.906
0.371 0.094 0.664
0.629 0.906 0.336
0.664 0.371 0.094
0.761 0.761 0.761
0.906 0.336 0.629
```

calculated volume: 250.11 Å³ per cell
space group: R-3
DFT formation energy: -2.5 eV per formula unit

[3]
KZnSnAu3 after structural relaxation. Source: Alexandria, functional PBE.

Structure (POSCAR):
```
KZnSnAu3
1.0
3.212 -6.354 0.000
3.212 6.354 0.000
0.000 0.000 7.670
K Zn Sn Au
2 2 2 6
direct
0.213 0.787 0.750
0.787 0.213 0.250
0.479 0.521 0.750
0.521 0.479 0.250
0.106 0.894 0.250
0.894 0.106 0.750
0.237 0.237 0.000
0.237 0.237 0.500
0.318 0.682 0.250
0.682 0.318 0.750
0.763 0.763 0.000
0.763 0.763 0.500
```

calculated volume: 313.07 Å³ per cell
space group: Cmcm
DFT formation energy: -1.1 eV per formula unit

[4]
HfTiSbAs2 after structural relaxation. Source: Alexandria, functional PBE.

Structure (POSCAR):
```
HfTiSbAs2
1.0
5.039 0.000 0.000
0.000 5.039 0.000
0.000 0.000 5.516
Hf Ti Sb As
1 1 1 2
direct
0.000 0.000 0.000
0.500 0.500 0.500
0.000 0.000 0.500
0.000 0.500 0.000
0.500 0.000 0.000
```

calculated volume: 140.05 Å³ per cell
space group: P4/mmm
uncorrected formation energy: 52 kJ/mol of atoms

Question: Among the records above, which one has the highest calculated volume?
Answer: KZn3Hg3

Copy entry 4 word for word.
HfTiSbAs2 after structural relaxation. Source: Alexandria, functional PBE.

Structure (POSCAR):
```
HfTiSbAs2
1.0
5.039 0.000 0.000
0.000 5.039 0.000
0.000 0.000 5.516
Hf Ti Sb As
1 1 1 2
direct
0.000 0.000 0.000
0.500 0.500 0.500
0.000 0.000 0.500
0.000 0.500 0.000
0.500 0.000 0.000
```

calculated volume: 140.05 Å³ per cell
space group: P4/mmm
uncorrected formation energy: 52 kJ/mol of atoms